{"formula": "Ho7Tm2Sc", "functional": "PBE-GGA", "state": "optimized geometry", "dos_ef_per_ev_fu": 11.5, "space_group": "Cmmm", "e_form_ev_per_fu": 7.1, "dft_energy_ry_per_atom": -0.29565, "total_magnetization_mub_per_fu": 0.00, "lattice_angstrom": [[5.029, 0.000, 0.000], [0.000, 9.528, -0.770], [0.000, -4.985, 8.156]], "species": ["Ho", "Sc", "Ho", "Ho", "Ho", "Ho", "Ho", "Tm", "Tm", "Ho"], "frac_coords": [[0.500, 0.717, 0.926], [0.000, 0.000, 0.000], [0.000, 0.808, 0.192], [0.500, 0.283, 0.074], [0.500, 0.926, 0.717], [0.500, 0.500, 0.500], [0.500, 0.074, 0.283], [0.500, 0.702, 0.298], [0.500, 0.298, 0.702], [0.000, 0.192, 0.808]]}